# EuRuN

EuRuN after structural relaxation (PBE-GGA, Alexandria).

Lattice parameters (Å, degrees): 5.647 5.647 5.647 150.27 150.27 42.55
Fractional positions:
Eu 0.000 0.000 0.000
Ru 0.270 0.270 0.000
N 0.695 0.695 0.000

Calculated values
Total magnetic moment, μB/f.u.: 7.2
DOS(E_F), states/eV per cell: 2.506
Energy above the lowest structure with this stoichiometry, kJ/mol of atoms: 48.6
Space-group type: I4mm
Raw formation energy, eV per atom: 0.308